Record 1
CdAgPt2: relaxed, GGA-PBE.

Cell lengths 3.911, 3.911, 10.123 Å; angles 78.86, 78.86, 90.00 degrees
Fractional coordinates of all 8 atoms:
Ag 0.250 0.750 0.500
Ag 0.500 0.500 0.000
Pt 0.375 0.378 0.750
Pt 0.875 0.872 0.750
Pt 0.128 0.625 0.250
Pt 0.622 0.125 0.250
Cd 0.000 0.000 0.000
Cd 0.750 0.250 0.500

Calculated values
- D(E_F) (states/eV/f.u.) = 3.297
- magnetic moment (μB/f.u.) = 0.00
- E_form (eV per atom) = 0.13



Record 2
Cd12Ag6Pt: relaxed, GGA-PBE.

Cell lengths 7.277, 7.277, 7.277 Å; angles 90.28, 90.28, 90.28 degrees
Fractional coordinates of all 19 atoms:
Cd 0.634 0.969 0.851
Cd 0.366 0.031 0.149
Cd 0.471 0.559 0.199
Cd 0.441 0.801 0.529
Cd 0.559 0.199 0.471
Cd 0.969 0.851 0.634
Cd 0.149 0.366 0.031
Cd 0.801 0.529 0.441
Cd 0.851 0.634 0.969
Cd 0.199 0.471 0.559
Cd 0.529 0.441 0.801
Cd 0.031 0.149 0.366
Ag 0.730 0.887 0.272
Ag 0.728 0.270 0.113
Ag 0.887 0.272 0.730
Ag 0.270 0.113 0.728
Ag 0.272 0.730 0.887
Ag 0.113 0.728 0.270
Pt 0.000 0.000 0.000

Calculated values
- D(E_F) (states/eV/f.u.) = 6.788
- magnetic moment (μB/f.u.) = 0.00
- E_form (eV per atom) = -0.07



Record 3
CdAg2Pt: relaxed, GGA-PBE.

Cell lengths 3.370, 3.370, 6.296 Å; angles 90.00, 90.00, 90.00 degrees
Fractional coordinates of all 4 atoms:
Cd 0.000 0.000 0.512
Pt 0.500 0.500 0.749
Ag 0.500 0.500 0.243
Ag 0.000 0.000 0.996

Calculated values
- D(E_F) (states/eV/f.u.) = 1.421
- magnetic moment (μB/f.u.) = 0.00
- E_form (eV per atom) = -0.05



Record 4
CdAgPt: relaxed, GGA-PBE.

Cell lengths 5.024, 5.024, 5.934 Å; angles 73.26, 73.26, 48.50 degrees
Fractional coordinates of all 6 atoms:
Pt 0.335 0.835 0.085
Pt 0.665 0.165 0.915
Cd 0.006 0.506 0.240
Cd 0.994 0.494 0.760
Ag 0.670 0.170 0.413
Ag 0.330 0.830 0.587

Calculated values
- D(E_F) (states/eV/f.u.) = 1.255
- magnetic moment (μB/f.u.) = 0.00
- E_form (eV per atom) = -0.13



Record 5
CdAg2Pt5: relaxed, GGA-PBE.

Cell lengths 4.033, 4.033, 8.622 Å; angles 103.53, 103.53, 90.00 degrees
Fractional coordinates of all 8 atoms:
Pt 0.377 0.877 0.755
Pt 0.123 0.623 0.245
Pt 0.623 0.123 0.245
Pt 0.877 0.377 0.755
Pt 0.500 0.500 0.000
Ag 0.750 0.750 0.500
Ag 0.250 0.250 0.500
Cd 0.000 0.000 0.000

Calculated values
- D(E_F) (states/eV/f.u.) = 7.898
- magnetic moment (μB/f.u.) = 0.00
- E_form (eV per atom) = -0.07



Record 6
CdAgPt2: relaxed, GGA-PBE.

Cell lengths 4.929, 4.929, 4.929 Å; angles 130.09, 130.09, 73.27 degrees
Fractional coordinates of all 4 atoms:
Pt 0.000 0.000 0.000
Pt 0.250 0.750 0.500
Cd 0.750 0.250 0.500
Ag 0.500 0.500 0.000

Calculated values
- D(E_F) (states/eV/f.u.) = 2.360
- magnetic moment (μB/f.u.) = 0.00
- E_form (eV per atom) = -0.12



Record 7
CdAg6Pt: relaxed, GGA-PBE.

Cell lengths 7.172, 7.752, 5.271 Å; angles 42.84, 47.92, 58.38 degrees
Fractional coordinates of all 8 atoms:
Ag 0.753 0.965 0.752
Ag 0.247 0.035 0.248
Ag 0.466 0.246 0.326
Ag 0.958 0.465 0.823
Ag 0.042 0.535 0.177
Ag 0.534 0.754 0.674
Pt 0.000 0.000 0.000
Cd 0.500 0.500 0.500

Calculated values
- D(E_F) (states/eV/f.u.) = 2.100
- magnetic moment (μB/f.u.) = 0.00
- E_form (eV per atom) = 0.08



Record 8
CdAg14Pt: relaxed, GGA-PBE.

Cell lengths 5.886, 5.886, 9.563 Å; angles 90.00, 90.00, 120.52 degrees
Fractional coordinates of all 16 atoms:
Cd 0.040 0.960 0.500
Ag 0.874 0.126 0.247
Ag 0.376 0.624 0.748
Ag 0.210 0.790 0.000
Ag 0.873 0.623 0.750
Ag 0.210 0.291 0.000
Ag 0.873 0.623 0.250
Ag 0.377 0.127 0.250
Ag 0.377 0.127 0.750
Ag 0.874 0.126 0.753
Ag 0.709 0.291 0.000
Ag 0.039 0.458 0.500
Ag 0.709 0.790 0.000
Ag 0.376 0.624 0.252
Ag 0.542 0.961 0.500
Pt 0.541 0.459 0.500

Calculated values
- D(E_F) (states/eV/f.u.) = 5.115
- magnetic moment (μB/f.u.) = 0.00
- E_form (eV per atom) = 0.00